Material: TaFe
Method: DFT, PBE-GGA
State: optimized geometry

abc: 3.6141 3.6141 8.8173
angles: 90.00 90.00 90.00
Last column: nearest neighbours and their distance in Å.
Space group I4_1/amd (No. 141, origin choice 2)
Inequivalent atoms, fractional coordinates:
Ta: 0.0000 0.2500 0.3750 [4 per cell]  8 Fe 2.56-2.85, 4 Ta 2.85
Fe: 0.0000 0.2500 0.8750 [4 per cell]  8 Ta 2.56-2.85, 4 Fe 2.85

Properties
Its energy of formation from the pure elements is 0.0543 eV/atom.

Material: TaFe2
Method: DFT, PBE-GGA
State: optimized geometry

abc: 5.2810 5.2810 6.2963
angles: 90.00 90.00 90.00
Last column: nearest neighbours and their distance in Å.
Space group I4/mcm (No. 140)
Inequivalent atoms, fractional coordinates:
Ta: 0.0000 0.0000 0.2500 [4 per cell]  8 Fe 2.54
Fe: 0.1569 0.3431 0.0000 [8 per cell]  1 Fe 2.34, 4 Ta 2.54

Properties
Its energy of formation from the pure elements is 0.4591 eV/atom.

Quick rundown of DFT total energy, same order as above: -10.10 -9.13 eV/atom
Quick rundown of M_tot, same order as above: 0.030 2.843 μB per formula unit